Entry 1:
Computed, not measured: a relaxed PaFeH3 crystal at the PBE-GGA level of DFT.

a b c (Å): 4.3997 4.8648 4.4033
angles (deg): 90.00 103.58 90.00
Positions (direct):
1 Pa 0.2029 0.2500 0.2979
2 Pa 0.7971 0.7500 0.7021
3 Fe 0.3988 0.7500 0.1008
4 Fe 0.6012 0.2500 0.8992
5 H 0.1723 0.7500 0.3498
6 H 0.2991 0.0022 0.8058
7 H 0.2991 0.4978 0.8058
8 H 0.7009 0.5022 0.1942
9 H 0.7009 0.9978 0.1942
10 H 0.8277 0.2500 0.6502

Output
* crystal system: monoclinic
* spin magnetization: 0.00 Bohr magnetons per cell

=====

Entry 2:
Computed, not measured: a relaxed Pa2FeH8 crystal at the PBE-GGA level of DFT.

a b c (Å): 6.1191 6.1191 6.1191
angles (deg): 143.85 136.23 58.02
Positions (direct):
1 Pa 0.1670 0.1670 0.0000
2 Pa 0.8330 0.8330 0.0000
3 Fe 0.5000 0.5000 0.0000
4 H 0.1390 0.3674 0.7716
5 H 0.2824 0.0000 0.2824
6 H 0.2859 0.7859 0.5000
7 H 0.4042 0.6326 0.7716
8 H 0.5958 0.3674 0.2284
9 H 0.7141 0.2141 0.5000
10 H 0.7176 0.0000 0.7176
11 H 0.8610 0.6326 0.2284

Output
* crystal system: orthorhombic
* spin magnetization: 4.78 Bohr magnetons per cell

=====

Entry 3:
Computed, not measured: a relaxed PaFe2H7 crystal at the PBE-GGA level of DFT.

a b c (Å): 4.8609 4.8609 3.4288
angles (deg): 90.00 90.00 119.42
Positions (direct):
1 Pa 0.0000 0.0000 0.0000
2 Fe 0.3127 0.6873 0.5000
3 Fe 0.6873 0.3127 0.5000
4 H 0.0348 0.3233 0.5000
5 H 0.3106 0.6894 0.0000
6 H 0.3233 0.0348 0.5000
7 H 0.5000 0.5000 0.5000
8 H 0.6767 0.9652 0.5000
9 H 0.6894 0.3106 0.0000
10 H 0.9652 0.6767 0.5000

Output
* crystal system: orthorhombic
* spin magnetization: 1.70 Bohr magnetons per cell

=====

Entry 4:
Computed, not measured: a relaxed PaFeH3 crystal at the PBE-GGA level of DFT.

a b c (Å): 3.9679 4.3199 5.6652
angles (deg): 90.00 107.47 90.00
Positions (direct):
1 Pa 0.1450 0.2500 0.2580
2 Pa 0.8550 0.7500 0.7420
3 Fe 0.4139 0.2500 0.8381
4 Fe 0.5861 0.7500 0.1619
5 H 0.1503 0.7500 0.1596
6 H 0.3039 0.5191 0.6281
7 H 0.3039 0.9809 0.6281
8 H 0.6961 0.0191 0.3719
9 H 0.6961 0.4809 0.3719
10 H 0.8497 0.2500 0.8404

Output
* crystal system: monoclinic
* spin magnetization: 0.00 Bohr magnetons per cell

=====

Entry 5:
Computed, not measured: a relaxed PaFeH5 crystal at the PBE-GGA level of DFT.

a b c (Å): 3.8926 4.3354 6.1818
angles (deg): 90.00 90.00 90.00
Positions (direct):
1 Pa 0.0000 0.0000 0.0000
2 Pa 0.5000 0.5000 0.5000
3 Fe 0.0000 0.0000 0.5000
4 Fe 0.5000 0.5000 0.0000
5 H 0.0000 0.2741 0.3288
6 H 0.0000 0.2741 0.6712
7 H 0.0000 0.5000 0.0000
8 H 0.0000 0.7259 0.3288
9 H 0.0000 0.7259 0.6712
10 H 0.5000 0.0000 0.5000
11 H 0.5000 0.2259 0.1712
12 H 0.5000 0.2259 0.8288
13 H 0.5000 0.7741 0.1712
14 H 0.5000 0.7741 0.8288

Output
* crystal system: orthorhombic
* spin magnetization: 0.00 Bohr magnetons per cell

=====

Entry 6:
Computed, not measured: a relaxed PaFe2H8 crystal at the PBE-GGA level of DFT.

a b c (Å): 4.1015 4.1015 4.6701
angles (deg): 90.00 90.00 90.00
Positions (direct):
1 Pa 0.0000 0.0000 0.0000
2 Fe 0.0000 0.5000 0.5000
3 Fe 0.5000 0.0000 0.5000
4 H 0.2889 0.2889 0.3119
5 H 0.2889 0.2889 0.6881
6 H 0.2889 0.7111 0.3119
7 H 0.2889 0.7111 0.6881
8 H 0.7111 0.2889 0.3119
9 H 0.7111 0.2889 0.6881
10 H 0.7111 0.7111 0.3119
11 H 0.7111 0.7111 0.6881

Output
* crystal system: tetragonal
* spin magnetization: 1.29 Bohr magnetons per cell

=====

Entry 7:
Computed, not measured: a relaxed PaFe4H8 crystal at the PBE-GGA level of DFT.

a b c (Å): 5.2683 5.2683 5.6281
angles (deg): 117.98 117.98 59.90
Positions (direct):
1 Pa 0.0000 0.0000 0.0000
2 Fe 0.0000 0.0000 0.5000
3 Fe 0.0000 0.5000 0.5000
4 Fe 0.5000 0.0000 0.5000
5 Fe 0.5000 0.5000 0.5000
6 H 0.2308 0.2308 0.6916
7 H 0.2445 0.7149 0.6728
8 H 0.2851 0.7555 0.3272
9 H 0.2859 0.2859 0.3281
10 H 0.7141 0.7141 0.6719
11 H 0.7149 0.2445 0.6728
12 H 0.7555 0.2851 0.3272
13 H 0.7692 0.7692 0.3084

Output
* crystal system: monoclinic
* spin magnetization: 4.53 Bohr magnetons per cell

=====

Entry 8:
Computed, not measured: a relaxed PaFe2H crystal at the PBE-GGA level of DFT.

a b c (Å): 2.9782 2.9782 19.5499
angles (deg): 90.00 90.00 120.00
Positions (direct):
1 Pa 0.0000 0.0000 0.0000
2 Pa 0.3333 0.6667 0.6667
3 Pa 0.6667 0.3333 0.3333
4 Fe 0.0000 0.0000 0.1189
5 Fe 0.0000 0.0000 0.8811
6 Fe 0.3333 0.6667 0.5478
7 Fe 0.3333 0.6667 0.7856
8 Fe 0.6667 0.3333 0.2144
9 Fe 0.6667 0.3333 0.4522
10 H 0.0000 0.0000 0.5000
11 H 0.3333 0.6667 0.1667
12 H 0.6667 0.3333 0.8333

Output
* crystal system: trigonal
* spin magnetization: 7.50 Bohr magnetons per cell

=====

Entry 9:
Computed, not measured: a relaxed PaFeH4 crystal at the PBE-GGA level of DFT.

a b c (Å): 3.0882 3.0882 5.0378
angles (deg): 90.00 90.00 90.00
Positions (direct):
1 Pa 0.0000 0.0000 0.0000
2 Fe 0.5000 0.5000 0.5000
3 H 0.0000 0.5000 0.3250
4 H 0.0000 0.5000 0.6750
5 H 0.5000 0.0000 0.3250
6 H 0.5000 0.0000 0.6750

Output
* crystal system: tetragonal
* spin magnetization: 1.78 Bohr magnetons per cell

=====

Entry 10:
Computed, not measured: a relaxed PaFeH3 crystal at the PBE-GGA level of DFT.

a b c (Å): 3.5190 3.5190 3.5190
angles (deg): 90.00 90.00 90.00
Positions (direct):
1 Pa 0.0000 0.0000 0.0000
2 Fe 0.5000 0.5000 0.5000
3 H 0.0000 0.5000 0.5000
4 H 0.5000 0.0000 0.5000
5 H 0.5000 0.5000 0.0000

Output
* crystal system: cubic
* spin magnetization: 0.00 Bohr magnetons per cell

=====

Entry 11:
Computed, not measured: a relaxed PaFeH6 crystal at the PBE-GGA level of DFT.

a b c (Å): 4.2990 4.3690 6.0349
angles (deg): 90.00 90.00 90.00
Positions (direct):
1 Pa 0.0000 0.0000 0.0000
2 Pa 0.5000 0.5000 0.5000
3 Fe 0.0000 0.0000 0.5000
4 Fe 0.5000 0.5000 0.0000
5 H 0.0000 0.3514 0.5000
6 H 0.0000 0.6486 0.5000
7 H 0.2177 0.5000 0.1689
8 H 0.2177 0.5000 0.8311
9 H 0.2823 0.0000 0.3311
10 H 0.2823 0.0000 0.6689
11 H 0.5000 0.1486 0.0000
12 H 0.5000 0.8514 0.0000
13 H 0.7177 0.0000 0.3311
14 H 0.7177 0.0000 0.6689
15 H 0.7823 0.5000 0.1689
16 H 0.7823 0.5000 0.8311

Output
* crystal system: orthorhombic
* spin magnetization: 1.33 Bohr magnetons per cell

=====

Entry 12:
Computed, not measured: a relaxed PaFe2H6 crystal at the PBE-GGA level of DFT.

a b c (Å): 4.0891 4.0891 4.4250
angles (deg): 93.89 93.89 116.25
Positions (direct):
1 Pa 0.0000 0.0000 0.0000
2 Fe 0.3245 0.6755 0.5000
3 Fe 0.6755 0.3245 0.5000
4 H 0.1898 0.5887 0.1506
5 H 0.2319 0.2319 0.5239
6 H 0.4113 0.8102 0.8494
7 H 0.5887 0.1898 0.1506
8 H 0.7681 0.7681 0.4761
9 H 0.8102 0.4113 0.8494

Output
* crystal system: monoclinic
* spin magnetization: 0.26 Bohr magnetons per cell

=====

| no. | E (eV/atom) |
| --- | --- |
| 1 | -5.81 |
| 2 | -5.11 |
| 3 | -5.08 |
| 4 | -5.91 |
| 5 | -5.26 |
| 6 | -4.85 |
| 7 | -5.33 |
| 8 | -7.06 |
| 9 | -5.34 |
| 10 | -5.81 |
| 11 | -5.01 |
| 12 | -5.27 |